## OsRh2Cl (PBE)

Data for OsRh2Cl after structural relaxation.

a = 6.5993 Å, b = 6.5993 Å, c = 6.5993 Å
α = 155.74°, β = 142.70°, γ = 45.00°
Closest atoms and distances in Å follow each position.
Fractional coordinates of all 4 atoms:
Os1 0.0000 0.0000 0.0000  2 Cl 2.46, 6 Rh 2.62
Rh1 0.1826 0.6826 0.5000  4 Rh 2.60-2.77, 2 Os 2.62
Rh2 0.5586 0.5586 0.0000  4 Rh 2.60-2.77, 4 Os 2.62
Cl1 0.8330 0.3330 0.5000  2 Os 2.46

Results
Total moment in μB/f.u.: 0.5
Energy above the most stable polymorph in this dataset in meV/atom: 328.3
Formation energy without anion corrections in eV/atom: 0.610
Space-group type: Imm2, No. 44
Raw total energy in eV/cell: -25.34
Mass density in Mg/m³: 10.0